Entry 1:
VASP calculation (PBE) on a relaxed structure of Ca6In2N.

a = 7.134 Å, b = 7.134 Å, c = 7.135 Å
α = 60.00°, β = 60.00°, γ = 60.02°
Positions (direct):
In 0.750 0.750 0.750
N 0.500 0.500 0.500
Ca 0.262 0.738 0.262
Ca 0.262 0.262 0.737
Ca 0.738 0.738 0.263
Ca 0.738 0.262 0.738
Ca 0.738 0.262 0.262
Ca 0.262 0.738 0.738
In 0.250 0.250 0.250

Output
For the magnetic moment, the calculation gives 1.27 Bohr magnetons per cell. The calculation puts the density of states at the Fermi level at 0.996 states/eV/atom. The value obtained for the total energy is -3.40 eV per atom. The offset from the most stable computed form comes out at 0.000 eV/atom. For the formation energy (no corrections), the calculation gives -0.53 eV/atom.

Entry 2:
VASP calculation (PBE) on a relaxed structure of Ca7In2N2.

a = 6.711 Å, b = 6.730 Å, c = 6.711 Å
α = 90.00°, β = 109.76°, γ = 90.00°
Positions (direct):
Ca 0.000 0.000 0.000
N 0.306 0.000 0.694
In 0.182 0.500 0.182
Ca 0.000 0.771 0.500
In 0.818 0.500 0.818
Ca 0.500 0.217 0.500
Ca 0.500 0.771 0.000
Ca 0.000 0.229 0.500
Ca 0.500 0.229 0.000
Ca 0.500 0.783 0.500
N 0.694 0.000 0.306

Output
For the magnetic moment, the calculation gives 0.00 Bohr magnetons per cell. The calculation puts the density of states at the Fermi level at 0.339 states/eV/atom. The value obtained for the total energy is -3.72 eV per atom. For the formation energy (no corrections), the calculation gives -0.43 eV/atom.

Entry 3:
VASP calculation (PBE) on a relaxed structure of Ca2NdInN.

a = 5.008 Å, b = 4.968 Å, c = 4.968 Å
α = 90.00°, β = 90.00°, γ = 90.00°
Positions (direct):
N 0.000 0.000 0.000
Ca 0.000 0.000 0.500
Nd 0.500 0.000 0.000
Ca 0.000 0.500 0.000
In 0.500 0.500 0.500

Output
For the magnetic moment, the calculation gives 0.00 Bohr magnetons per cell. The calculation puts the density of states at the Fermi level at 1.155 states/eV/atom. The value obtained for the total energy is -4.71 eV per atom. For the formation energy (no corrections), the calculation gives -0.74 eV/atom.

Entry 4:
VASP calculation (PBE) on a relaxed structure of CaNd12In4N3.

a = 8.899 Å, b = 8.899 Å, c = 8.899 Å
α = 109.47°, β = 109.47°, γ = 109.47°
Positions (direct):
Nd 0.250 0.500 0.750
Ca 0.000 0.000 0.000
Nd 0.000 0.273 0.273
N 0.000 0.500 0.500
Nd 0.500 0.750 0.250
In 0.500 0.000 0.000
In 0.000 0.000 0.500
Nd 0.250 0.750 0.500
In 0.000 0.500 0.000
Nd 0.273 0.273 0.000
Nd 0.000 0.727 0.727
In 0.500 0.500 0.500
Nd 0.500 0.250 0.750
N 0.500 0.000 0.500
Nd 0.727 0.727 0.000
Nd 0.750 0.250 0.500
Nd 0.750 0.500 0.250
Nd 0.273 0.000 0.273
N 0.500 0.500 0.000
Nd 0.727 0.000 0.727

Output
For the magnetic moment, the calculation gives 0.00 Bohr magnetons per cell. The calculation puts the density of states at the Fermi level at 0.738 states/eV/atom. The value obtained for the total energy is -5.20 eV per atom. For the formation energy (no corrections), the calculation gives -0.44 eV/atom.

Entry 5:
VASP calculation (PBE) on a relaxed structure of CaInNi2N.

a = 4.774 Å, b = 4.264 Å, c = 4.774 Å
α = 90.00°, β = 90.00°, γ = 90.00°
Each line ends with the local moment (μB).
Positions (direct):
In 0.500 0.500 0.500  0.01
Ca 0.000 0.000 0.000  0.02
Ni 0.500 0.000 0.000  0.28
Ni 0.000 0.000 0.500  0.31
N 0.000 0.500 0.000  0.77

Output
For the magnetic moment, the calculation gives 1.57 Bohr magnetons per cell. The calculation puts the density of states at the Fermi level at 0.845 states/eV/atom. The value obtained for the total energy is -3.53 eV per atom. For the formation energy (no corrections), the calculation gives 1.39 eV/atom.

Entry 6:
VASP calculation (PBE) on a relaxed structure of Ca2InNiN.

a = 5.180 Å, b = 5.180 Å, c = 3.665 Å
α = 90.00°, β = 90.00°, γ = 90.00°
Each line ends with the local moment (μB).
Positions (direct):
In 0.500 0.500 0.500  0.01
N 0.000 0.000 0.000  0.11
Ca 0.500 0.000 0.000  0.01
Ni 0.000 0.000 0.500  0.31
Ca 0.000 0.500 0.000  0.01

Output
For the magnetic moment, the calculation gives 0.49 Bohr magnetons per cell. The calculation puts the density of states at the Fermi level at 0.851 states/eV/atom. The value obtained for the total energy is -4.60 eV per atom. For the formation energy (no corrections), the calculation gives -0.43 eV/atom.

Entry 7:
VASP calculation (PBE) on a relaxed structure of Ca2InOsN.

a = 5.094 Å, b = 5.094 Å, c = 3.847 Å
α = 90.00°, β = 90.00°, γ = 90.00°
Positions (direct):
N 0.000 0.000 0.000
Ca 0.500 0.000 0.000
In 0.500 0.500 0.500
Os 0.000 0.000 0.500
Ca 0.000 0.500 0.000

Output
For the magnetic moment, the calculation gives 0.00 Bohr magnetons per cell. The calculation puts the density of states at the Fermi level at 0.363 states/eV/atom. The value obtained for the total energy is -5.70 eV per atom. For the formation energy (no corrections), the calculation gives -0.44 eV/atom.

Entry 8:
VASP calculation (PBE) on a relaxed structure of Ca2InP2N6.

a = 5.558 Å, b = 5.558 Å, c = 6.666 Å
α = 65.36°, β = 65.36°, γ = 60.00°
Positions (direct):
N 0.258 0.258 0.737
In 0.000 0.000 0.000
Ca 0.802 0.802 0.593
N 0.742 0.742 0.263
P 0.417 0.417 0.750
Ca 0.198 0.198 0.407
N 0.742 0.253 0.263
N 0.253 0.742 0.263
P 0.583 0.583 0.250
N 0.747 0.258 0.737
N 0.258 0.747 0.737

Output
For the magnetic moment, the calculation gives 0.09 Bohr magnetons per cell. The calculation puts the density of states at the Fermi level at 0.451 states/eV/atom. The value obtained for the total energy is -6.51 eV per atom. For the formation energy (no corrections), the calculation gives -0.38 eV/atom.

What is the formula in the third record?
Ca2NdInN